# 1
Pm2MgBe3Ge4 PBE relaxed; SG = P-4m2; formation energy = -0.35 eV per atom
1.0
4.188 0.000 0.000
0.000 4.188 0.000
0.000 0.000 10.047
Be Ge Mg Pm
3 4 1 2
direct
0.000 0.000 0.500
0.000 0.500 0.119
0.500 0.000 0.881
0.500 0.500 0.000
0.000 0.000 0.000
0.500 0.000 0.651
0.000 0.500 0.349
0.500 0.500 0.500
0.000 0.500 0.767
0.500 0.000 0.233


# 2
Mg2Be2GePt5 PBE relaxed; SG = P4/mbm; formation energy = -0.74 eV per atom
1.0
-2.303 2.156 1.230
-6.147 -2.998 -6.251
-2.890 -6.486 5.953
Ge Pt Mg Be
2 10 4 4
direct
0.000 0.000 0.000
0.000 0.500 0.500
0.500 0.208 0.075
0.500 0.075 0.792
0.500 0.925 0.208
0.500 0.575 0.708
0.500 0.708 0.425
0.500 0.425 0.292
0.500 0.000 0.500
0.500 0.500 0.000
0.500 0.792 0.925
0.500 0.292 0.575
0.000 0.327 0.827
0.000 0.673 0.173
0.000 0.827 0.673
0.000 0.173 0.327
0.000 0.377 0.123
0.000 0.877 0.377
0.000 0.623 0.877
0.000 0.123 0.623


# 3
RbMgBe2Ge PBE relaxed; SG = P4/mmm; formation energy = 0.99 eV per atom
1.0
-1.743 2.121 4.187
-4.748 -1.827 -1.051
1.043 -4.179 2.552
Mg Be Ge Rb
1 2 1 1
direct
0.000 0.000 0.000
0.500 0.000 0.000
0.000 0.000 0.500
0.000 0.500 0.000
0.500 0.500 0.500


# 4
RbMgBe2Ge PBE relaxed; SG = P4/mmm; formation energy = 2.12 eV per atom
1.0
5.310 0.000 0.000
0.000 6.057 0.000
0.000 0.000 5.310
Be Mg Ge Rb
2 1 1 1
direct
0.000 0.000 0.500
0.500 0.000 0.000
0.000 0.500 0.000
0.500 0.500 0.500
0.000 0.000 0.000


# 5
Mg2BeGe2Rh5 PBE relaxed; SG = P4/mbm; formation energy = -0.49 eV per atom
1.0
-1.922 0.153 2.432
-4.852 -7.826 -3.341
5.968 -5.871 5.085
Mg Ge Be Rh
4 4 2 10
direct
0.000 0.669 0.169
0.000 0.331 0.831
0.000 0.169 0.331
0.000 0.831 0.669
0.000 0.637 0.863
0.000 0.863 0.363
0.000 0.363 0.137
0.000 0.137 0.637
0.000 0.500 0.500
0.000 0.000 0.000
0.500 0.812 0.932
0.500 0.068 0.812
0.500 0.932 0.188
0.500 0.688 0.432
0.500 0.568 0.688
0.500 0.000 0.500
0.500 0.188 0.068
0.500 0.500 0.000
0.500 0.312 0.568
0.500 0.432 0.312


# 6
Mg2ScBeGe PBE relaxed; SG = P4/mmm; formation energy = 0.19 eV per atom
1.0
4.584 0.000 0.000
0.000 4.855 0.000
0.000 0.000 4.584
Mg Ge Sc Be
2 1 1 1
direct
0.000 0.000 0.500
0.500 0.000 0.000
0.500 0.500 0.500
0.000 0.500 0.000
0.000 0.000 0.000